Computed, not measured: a relaxed structure of AcLaZnPb at the PBE-GGA level of DFT.

The formation energy is -37.3 kJ per mole of atoms.

It has space group F-43m (No. 216), with a = 7.9659 Å, b = 7.9659 Å, c = 7.9659 Å, α = 90.00°, β = 90.00° and γ = 90.00°. Symmetry generates all atoms from Ac at (0.0000, 0.0000, 0.0000), La at (0.0000, 0.0000, 0.5000), Zn at (0.2500, 0.2500, 0.7500) and Pb at (0.2500, 0.2500, 0.2500).

---

Computed, not measured: a relaxed structure of RePt3 at the PBE-GGA level of DFT.

The formation energy is 18.2 kJ per mole of atoms.

It has space group P4/mmm (No. 123), with a = 4.8174 Å, b = 4.8174 Å, c = 2.7205 Å, α = 90.00°, β = 90.00° and γ = 90.00°. Symmetry generates all atoms from Re at (0.0000, 0.0000, 0.0000), Pt at (0.0000, 0.5000, 0.5000) and Pt at (0.5000, 0.5000, 0.0000).

---

Computed, not measured: a relaxed structure of CsTiTe2I at the PBE-GGA level of DFT.

As for the formation energy (no corrections): 1.05 eV/atom. The value obtained for the offset from the most stable computed form is 1805.7 meV/atom.

It has space group P4/mmm (No. 123), with a = 6.2074 Å, b = 6.2074 Å, c = 6.8326 Å, α = 90.00°, β = 90.00° and γ = 90.00°. Symmetry generates all atoms from Cs at (0.0000, 0.0000, 0.0000), Ti at (0.5000, 0.5000, 0.5000), Te at (0.0000, 0.5000, 0.0000) and I at (0.0000, 0.0000, 0.5000).

---

Computed, not measured: a relaxed structure of TiHg2Au2 at the PBE-GGA level of DFT.

The value obtained for the offset from the most stable computed form is 72.5 meV/atom. The formation energy is 19.8 kJ per mole of atoms.

It has space group P4/mbm (No. 127), with a = 7.8395 Å, b = 7.8395 Å, c = 3.3504 Å, α = 90.00°, β = 90.00° and γ = 90.00°. Symmetry generates all atoms from Ti at (0.0000, 0.0000, 0.0000), Hg at (0.1325, 0.3675, 0.0000) and Au at (0.1705, 0.6705, 0.5000).

---

Computed, not measured: a relaxed structure of Zn2InP at the PBE-GGA level of DFT.

The formation energy is 20.0 kJ per mole of atoms.

It has space group Fmmm (No. 69), with a = 5.5335 Å, b = 5.5525 Å, c = 9.9128 Å, α = 90.00°, β = 90.00° and γ = 90.00°. Symmetry generates all atoms from Zn at (0.2500, 0.0000, 0.2500), In at (0.0000, 0.0000, 0.0000) and P at (0.0000, 0.0000, 0.5000).

---

Computed, not measured: a relaxed structure of Sc2TlFe at the PBE-GGA level of DFT.

The formation energy is -21.2 kJ per mole of atoms.

It has space group Pmmm (No. 47), with a = 3.1806 Å, b = 3.2098 Å, c = 7.5639 Å, α = 90.00°, β = 90.00° and γ = 90.00°. Symmetry generates all atoms from Sc at (0.0000, 0.0000, 0.1973), Tl at (0.5000, 0.5000, 0.5000) and Fe at (0.5000, 0.5000, 0.0000).

---

Computed, not measured: a relaxed structure of KHfTiHg2 at the PBE-GGA level of DFT.

The formation energy is 155.4 kJ per mole of atoms.

It has space group P4/mmm (No. 123), with a = 5.3079 Å, b = 5.3079 Å, c = 4.8716 Å, α = 90.00°, β = 90.00° and γ = 90.00°. Symmetry generates all atoms from K at (0.0000, 0.0000, 0.0000), Hf at (0.5000, 0.5000, 0.5000), Ti at (0.0000, 0.0000, 0.5000) and Hg at (0.0000, 0.5000, 0.0000).

---

Computed, not measured: a relaxed structure of PaTlAu2 at the PBE-GGA level of DFT.

The value obtained for the offset from the most stable computed form is 0.0 meV/atom. The formation energy is -25.3 kJ per mole of atoms.

It has space group Fm-3m (No. 225), with a = 7.1007 Å, b = 7.1007 Å, c = 7.1007 Å, α = 90.00°, β = 90.00° and γ = 90.00°. Symmetry generates all atoms from Pa at (0.0000, 0.0000, 0.0000), Tl at (0.0000, 0.0000, 0.5000) and Au at (0.2500, 0.2500, 0.2500).

---

Computed, not measured: a relaxed structure of TcPF2 at the PBE-GGA level of DFT.

As for the formation energy (no corrections): -0.54 eV/atom. The value obtained for the offset from the most stable computed form is 138.8 meV/atom.

It has space group R-3m (No. 166, hexagonal axes), with a = 2.6032 Å, b = 2.6032 Å, c = 28.9180 Å, α = 90.00°, β = 90.00° and γ = 120.00°. Symmetry generates all atoms from Tc at (0.0000, 0.0000, 0.0000), P at (0.0000, 0.0000, 0.5000) and F at (0.0000, 0.0000, 0.4426).

---

Computed, not measured: a relaxed structure of ScPCl2O at the PBE-GGA level of DFT.

As for the formation energy (no corrections): -0.09 eV/atom. The value obtained for the offset from the most stable computed form is 142.3 meV/atom.

It has space group P4/mmm (No. 123), with a = 4.3903 Å, b = 4.3903 Å, c = 4.3629 Å, α = 90.00°, β = 90.00° and γ = 90.00°. Symmetry generates all atoms from Sc at (0.0000, 0.0000, 0.0000), P at (0.5000, 0.5000, 0.0000), Cl at (0.0000, 0.5000, 0.5000) and O at (0.5000, 0.5000, 0.5000).

---

Computed, not measured: a relaxed structure of LiGeIr3 at the PBE-GGA level of DFT.

The value obtained for the offset from the most stable computed form is 0.0 meV/atom. The formation energy is 79.4 kJ per mole of atoms.

It has space group Pm-3m (No. 221), with a = 4.1491 Å, b = 4.1491 Å, c = 4.1491 Å, α = 90.00°, β = 90.00° and γ = 90.00°. Symmetry generates all atoms from Li at (0.0000, 0.0000, 0.0000), Ge at (0.5000, 0.5000, 0.5000) and Ir at (0.0000, 0.0000, 0.5000).

---

Computed, not measured: a relaxed structure of LaTcRu2 at the PBE-GGA level of DFT.

The value obtained for the offset from the most stable computed form is 177.5 meV/atom. The formation energy is 30.1 kJ per mole of atoms.

It has space group Pmm2 (No. 25), with a = 2.8540 Å, b = 3.7276 Å, c = 6.9098 Å, α = 90.00°, β = 90.00° and γ = 90.00°. Symmetry generates all atoms from La at (0.0000, 0.0000, 0.0000), Tc at (0.5000, 0.5000, 0.6734), Ru at (0.0000, 0.0000, 0.4947) and Ru at (0.5000, 0.5000, 0.3045).

---

Number 1: magnetic moment 0.001 μB per cell, energy -3.891 eV/atom. Number 2: magnetic moment 1.042 μB per cell, energy -7.454 eV/atom. Number 3: magnetic moment 2.164 μB per cell, energy -2.268 eV/atom. Number 4: magnetic moment 4.035 μB per cell, energy -2.806 eV/atom. Number 5: magnetic moment 0.000 μB per cell, energy -2.467 eV/atom. Number 6: magnetic moment 0.000 μB per cell, energy -6.093 eV/atom. Number 7: magnetic moment 2.371 μB per cell, energy -2.299 eV/atom. Number 8: magnetic moment 0.002 μB per cell, energy -4.866 eV/atom. Number 9: magnetic moment 0.000 μB per cell, energy -5.423 eV/atom. Number 10: magnetic moment 0.000 μB per cell, energy -4.166 eV/atom. Number 11: magnetic moment 0.000 μB per cell, energy -5.800 eV/atom. Number 12: magnetic moment 0.000 μB per cell, energy -8.149 eV/atom.